{"formula": "InAu7", "functional": "PBE", "state": "relaxed", "lattice": [[2.9270, 0.0000, 0.0000], [0.0000, 4.0143, 0.0000], [0.0000, 0.0000, 34.7192]], "species": ["In", "In", "Au", "Au", "Au", "Au", "Au", "Au", "Au", "Au", "Au", "Au", "Au", "Au", "Au", "Au"], "fractional_positions": [[0.2500, 0.2500, 0.1639], [0.7500, 0.7500, 0.8361], [0.2500, 0.2500, 0.2583], [0.2500, 0.2500, 0.3466], [0.2500, 0.2500, 0.4343], [0.2500, 0.2500, 0.5218], [0.2500, 0.2500, 0.6093], [0.2500, 0.2500, 0.6971], [0.2500, 0.2500, 0.7878], [0.7500, 0.7500, 0.2122], [0.7500, 0.7500, 0.3029], [0.7500, 0.7500, 0.3907], [0.7500, 0.7500, 0.4782], [0.7500, 0.7500, 0.5657], [0.7500, 0.7500, 0.6534], [0.7500, 0.7500, 0.7417]], "crystal_system": "orthorhombic", "total_energy_ev_per_cell": -51.1}